{
  "formula": "Li5Sm2F",
  "functional": "GGA-PBE",
  "state": "optimized geometry",
  "cell": [[3.502, 0.000, 0.000], [0.000, 3.502, 0.000], [0.000, 0.000, 12.624]],
  "species": ["Li", "Li", "Li", "Li", "Li", "Sm", "Sm", "F"],
  "fractional_positions": [[0.000, 0.000, 0.000], [0.000, 0.500, 0.170], [0.000, 0.500, 0.830], [0.500, 0.000, 0.170], [0.500, 0.000, 0.830], [0.000, 0.000, 0.377], [0.000, 0.000, 0.623], [0.500, 0.500, 0.000]],
  "final_energy_ev_per_atom": -2.844,
  "m_tot_mub_per_cell": 0.03,
  "spacegroup": "P4/mmm (123)",
  "volume_a3_per_cell": 154.8
}